Arrangement i

{"formula": "Na3InCo", "functional": "PBE", "state": "relaxed", "lattice_angstrom": [[5.770, 0.000, 0.000], [0.000, 5.770, 0.000], [0.000, 0.000, 5.770]], "species": ["Na", "Na", "Na", "In", "Co"], "fractional_positions": [[0.000, 0.000, 0.500], [0.000, 0.500, 0.000], [0.500, 0.000, 0.000], [0.000, 0.000, 0.000], [0.500, 0.500, 0.500]], "vol_a3_per_cell": 192, "sg": "Pm-3m"}

Arrangement ii

{"formula": "Na3InCo", "functional": "PBE", "state": "relaxed", "lattice_angstrom": [[5.325, 0.000, 0.000], [0.000, 5.325, 0.000], [0.000, 0.000, 5.325]], "species": ["Na", "Na", "Na", "In", "Co"], "fractional_positions": [[0.000, 0.000, 0.500], [0.000, 0.500, 0.000], [0.500, 0.000, 0.000], [0.500, 0.500, 0.500], [0.000, 0.000, 0.000]], "vol_a3_per_cell": 151, "sg": "Pm-3m"}

Q: Which of them is the least stable? A: arrangement i.

Arrangement i

{"formula": "NaIn2Co2", "functional": "PBE", "state": "relaxed", "lattice_angstrom": [[-1.663, 1.663, 9.339], [1.663, -1.663, 9.339], [1.663, 1.663, -9.339]], "species": ["Na", "In", "In", "Co", "Co"], "fractional_positions": [[0.000, 0.000, 0.000], [0.367, 0.367, 0.000], [0.633, 0.633, 0.000], [0.250, 0.750, 0.500], [0.750, 0.250, 0.500]], "vol_a3_per_cell": 103, "sg": "I4/mmm"}

Arrangement ii

{"formula": "NaIn2Co2", "functional": "PBE", "state": "relaxed", "lattice_angstrom": [[-2.402, 2.402, 4.311], [2.402, -2.402, 4.311], [2.402, 2.402, -4.311]], "species": ["Na", "In", "In", "Co", "Co"], "fractional_positions": [[0.000, 0.000, 0.000], [0.250, 0.750, 0.500], [0.750, 0.250, 0.500], [0.376, 0.376, 0.000], [0.624, 0.624, 0.000]], "vol_a3_per_cell": 99, "sg": "I4/mmm"}

Q: Which of them is the least stable? A: arrangement ii.

Arrangement i

{"formula": "NaInCo3", "functional": "PBE", "state": "relaxed", "lattice_angstrom": [[4.408, 0.000, 0.000], [0.000, 4.408, 0.000], [0.000, 0.000, 4.408]], "species": ["Na", "In", "Co", "Co", "Co"], "fractional_positions": [[0.000, 0.000, 0.000], [0.500, 0.500, 0.500], [0.000, 0.000, 0.500], [0.000, 0.500, 0.000], [0.500, 0.000, 0.000]], "vol_a3_per_cell": 86, "sg": "Pm-3m"}

Arrangement ii

{"formula": "NaInCo3", "functional": "PBE", "state": "relaxed", "lattice_angstrom": [[4.862, 0.000, 0.000], [0.000, 4.862, 0.000], [0.000, 0.000, 4.862]], "species": ["Na", "In", "Co", "Co", "Co"], "fractional_positions": [[0.000, 0.000, 0.000], [0.500, 0.500, 0.500], [0.000, 0.500, 0.500], [0.500, 0.000, 0.500], [0.500, 0.500, 0.000]], "vol_a3_per_cell": 115, "sg": "Pm-3m"}

Q: Which of them is the least stable? A: arrangement i.

Arrangement i

{"formula": "NbInCo3", "functional": "PBE", "state": "relaxed", "lattice_angstrom": [[4.475, 0.000, 0.000], [0.000, 4.475, 0.000], [0.000, 0.000, 4.475]], "species": ["Nb", "In", "Co", "Co", "Co"], "fractional_positions": [[0.000, 0.000, 0.000], [0.500, 0.500, 0.500], [0.000, 0.000, 0.500], [0.000, 0.500, 0.000], [0.500, 0.000, 0.000]], "vol_a3_per_cell": 90, "sg": "Pm-3m"}

Arrangement ii

{"formula": "NbInCo3", "functional": "PBE", "state": "relaxed", "lattice_angstrom": [[4.536, 0.000, 0.000], [0.000, 4.536, 0.000], [0.000, 0.000, 4.536]], "species": ["Nb", "In", "Co", "Co", "Co"], "fractional_positions": [[0.000, 0.000, 0.000], [0.500, 0.500, 0.500], [0.000, 0.500, 0.500], [0.500, 0.000, 0.500], [0.500, 0.500, 0.000]], "vol_a3_per_cell": 93, "sg": "Pm-3m"}

Q: Which of them is the least stable? A: arrangement ii.

Arrangement i

{"formula": "NbIn3Co", "functional": "PBE", "state": "relaxed", "lattice_angstrom": [[5.362, 0.000, 0.000], [0.000, 5.362, 0.000], [0.000, 0.000, 5.362]], "species": ["Nb", "In", "In", "In", "Co"], "fractional_positions": [[0.000, 0.000, 0.000], [0.000, 0.000, 0.500], [0.000, 0.500, 0.000], [0.500, 0.000, 0.000], [0.500, 0.500, 0.500]], "vol_a3_per_cell": 154, "sg": "Pm-3m"}

Arrangement ii

{"formula": "NbIn3Co", "functional": "PBE", "state": "relaxed", "lattice_angstrom": [[4.782, 0.000, 0.000], [0.000, 4.782, 0.000], [0.000, 0.000, 4.782]], "species": ["Nb", "In", "In", "In", "Co"], "fractional_positions": [[0.000, 0.000, 0.000], [0.000, 0.500, 0.500], [0.500, 0.000, 0.500], [0.500, 0.500, 0.000], [0.500, 0.500, 0.500]], "vol_a3_per_cell": 109, "sg": "Pm-3m"}

Q: Which of them is the least stable? A: arrangement i.

Arrangement i

{"formula": "Nb3InCo", "functional": "PBE", "state": "relaxed", "lattice_angstrom": [[4.633, 0.000, 0.000], [0.000, 4.633, 0.000], [0.000, 0.000, 4.633]], "species": ["Nb", "Nb", "Nb", "In", "Co"], "fractional_positions": [[0.000, 0.000, 0.500], [0.000, 0.500, 0.000], [0.500, 0.000, 0.000], [0.500, 0.500, 0.500], [0.000, 0.000, 0.000]], "vol_a3_per_cell": 99, "sg": "Pm-3m"}

Arrangement ii

{"formula": "Nb3InCo", "functional": "PBE", "state": "relaxed", "lattice_angstrom": [[4.979, 0.000, 0.000], [0.000, 4.979, 0.000], [0.000, 0.000, 4.979]], "species": ["Nb", "Nb", "Nb", "In", "Co"], "fractional_positions": [[0.000, 0.000, 0.500], [0.000, 0.500, 0.000], [0.500, 0.000, 0.000], [0.000, 0.000, 0.000], [0.500, 0.500, 0.500]], "vol_a3_per_cell": 123, "sg": "Pm-3m"}

Q: Which of them is the least stable? A: arrangement ii.

Arrangement i

{"formula": "InCo2Ni2", "functional": "PBE", "state": "relaxed", "lattice_angstrom": [[6.986, 0.000, 0.000], [0.000, 6.986, 0.000], [0.000, 0.000, 2.697]], "species": ["In", "In", "Co", "Co", "Co", "Co", "Ni", "Ni", "Ni", "Ni"], "fractional_positions": [[0.000, 0.000, 0.000], [0.500, 0.500, 0.000], [0.119, 0.381, 0.000], [0.381, 0.881, 0.000], [0.619, 0.119, 0.000], [0.881, 0.619, 0.000], [0.173, 0.673, 0.500], [0.327, 0.173, 0.500], [0.673, 0.827, 0.500], [0.827, 0.327, 0.500]], "vol_a3_per_cell": 132, "sg": "P4/mbm"}

Arrangement ii

{"formula": "InCo2Ni2", "functional": "PBE", "state": "relaxed", "lattice_angstrom": [[-1.695, 1.695, 5.943], [1.695, -1.695, 5.943], [1.695, 1.695, -5.943]], "species": ["In", "Co", "Co", "Ni", "Ni"], "fractional_positions": [[0.000, 0.000, 0.000], [0.250, 0.750, 0.500], [0.750, 0.250, 0.500], [0.397, 0.397, 0.000], [0.603, 0.603, 0.000]], "vol_a3_per_cell": 68, "sg": "I4/mmm"}

Arrangement iii

{"formula": "InCo2Ni2", "functional": "PBE", "state": "relaxed", "lattice_angstrom": [[-1.785, 1.785, 5.365], [1.785, -1.785, 5.365], [1.785, 1.785, -5.365]], "species": ["In", "Co", "Co", "Ni", "Ni"], "fractional_positions": [[0.000, 0.000, 0.000], [0.396, 0.396, 0.000], [0.604, 0.604, 0.000], [0.250, 0.750, 0.500], [0.750, 0.250, 0.500]], "vol_a3_per_cell": 68, "sg": "I4/mmm"}

Q: Which of them is the least stable? A: arrangement iii.